VASP calculation (GGA-PBE) on a geometry-optimized Pr2PbSe4 structure.

Lattice parameters (Å, degrees): 7.3439 7.3439 14.5667 90.00 90.00 146.30
Positions (direct):
Pr  0.1351  0.8649  0.5694
Pr  0.1351  0.8649  0.9306
Pr  0.8649  0.1351  0.0694
Pr  0.8649  0.1351  0.4306
Pb  0.3908  0.6092  0.7500
Pb  0.6092  0.3908  0.2500
Se  0.0369  0.9631  0.7500
Se  0.2284  0.7716  0.1170
Se  0.2284  0.7716  0.3830
Se  0.5000  0.5000  0.0000
Se  0.5000  0.5000  0.5000
Se  0.7716  0.2284  0.6170
Se  0.7716  0.2284  0.8830
Se  0.9631  0.0369  0.2500

Summary:
* raw total energy: -5.345 eV per atom
* crystal system: orthorhombic
* energy relative to the lowest polymorph listed for this composition: 34.0 meV per atom
* space-group type: Cmcm
* ΔE_f (raw): -1.46 eV/atom
* magnetic moment: 0.0 μB/cell

VASP calculation (GGA-PBE) on a geometry-optimized Pr3Pb4Se8 structure.

Lattice parameters (Å, degrees): 8.6323 8.6323 8.6273 119.79 119.79 90.07
Positions (direct):
Pr  0.0000  0.0000  0.0000
Pr  0.0000  0.5000  0.5000
Pr  0.5000  0.0000  0.5000
Pb  0.0000  0.5000  0.0000
Pb  0.5000  0.0000  0.0000
Pb  0.5000  0.5000  0.0000
Pb  0.5000  0.5000  0.5000
Se  0.2432  0.2432  0.9977
Se  0.2448  0.2448  0.4944
Se  0.2470  0.7530  0.5000
Se  0.2478  0.7522  0.0000
Se  0.7522  0.2478  0.0000
Se  0.7530  0.2470  0.5000
Se  0.7552  0.7552  0.5056
Se  0.7568  0.7568  0.0023

Summary:
* raw total energy: -4.923 eV per atom
* crystal system: monoclinic
* space-group type: C2/m
* ΔE_f (raw): -1.12 eV/atom
* magnetic moment: 0.0 μB/cell

VASP calculation (GGA-PBE) on a geometry-optimized Pr3PbSe structure.

Lattice parameters (Å, degrees): 9.6202 6.9880 10.8802 90.00 114.09 90.00
Positions (direct):
Pr  0.0545  0.0862  0.3359
Pr  0.0545  0.4138  0.8359
Pr  0.2047  0.5832  0.5317
Pr  0.2047  0.9168  0.0318
Pr  0.4036  0.1898  0.8205
Pr  0.4036  0.3102  0.3205
Pr  0.5964  0.6898  0.6795
Pr  0.5964  0.8102  0.1795
Pr  0.7953  0.0832  0.9682
Pr  0.7953  0.4168  0.4682
Pr  0.9455  0.5862  0.1641
Pr  0.9455  0.9138  0.6641
Pb  0.3587  0.7073  0.8472
Pb  0.3587  0.7927  0.3472
Pb  0.6413  0.2073  0.6528
Pb  0.6413  0.2927  0.1528
Se  0.0946  0.2352  0.6018
Se  0.0946  0.2648  0.1018
Se  0.9054  0.7352  0.8982
Se  0.9054  0.7648  0.3982

Summary:
* raw total energy: -5.157 eV per atom
* crystal system: monoclinic
* energy relative to the lowest polymorph listed for this composition: 138.0 meV per atom
* space-group type: P2_1/c
* ΔE_f (raw): -0.85 eV/atom
* magnetic moment: 0.0 μB/cell

VASP calculation (GGA-PBE) on a geometry-optimized Pr2PbSe structure.

Lattice parameters (Å, degrees): 7.7092 7.7092 7.7092 131.71 131.71 70.69
Positions (direct):
Pr  0.1184  0.3684  0.7500
Pr  0.3684  0.1184  0.2500
Pr  0.6316  0.8816  0.7500
Pr  0.8816  0.6316  0.2500
Pb  0.3750  0.6250  0.7500
Pb  0.6250  0.3750  0.2500
Se  0.1250  0.8750  0.2500
Se  0.8750  0.1250  0.7500

Summary:
* raw total energy: -5.398 eV per atom
* crystal system: tetragonal
* energy relative to the lowest polymorph listed for this composition: 0.0 meV per atom
* space-group type: I4_1/amd
* ΔE_f (raw): -1.21 eV/atom
* magnetic moment: 0.0 μB/cell

VASP calculation (GGA-PBE) on a geometry-optimized Pr3PbSe structure.

Lattice parameters (Å, degrees): 8.9922 4.3793 16.0680 90.00 90.00 90.00
Positions (direct):
Pr  0.0222  0.2500  0.1089
Pr  0.1548  0.2500  0.5336
Pr  0.1748  0.7500  0.2846
Pr  0.3252  0.2500  0.7846
Pr  0.3452  0.7500  0.0336
Pr  0.4778  0.7500  0.6089
Pr  0.5222  0.2500  0.3911
Pr  0.6548  0.2500  0.9664
Pr  0.6748  0.7500  0.2154
Pr  0.8252  0.2500  0.7154
Pr  0.8452  0.7500  0.4664
Pr  0.9778  0.7500  0.8911
Pb  0.1026  0.7500  0.6886
Pb  0.3974  0.2500  0.1886
Pb  0.6026  0.7500  0.8114
Pb  0.8974  0.2500  0.3114
Se  0.1830  0.2500  0.9470
Se  0.3170  0.7500  0.4470
Se  0.6830  0.2500  0.5530
Se  0.8170  0.7500  0.0530

Summary:
* raw total energy: -5.295 eV per atom
* crystal system: orthorhombic
* energy relative to the lowest polymorph listed for this composition: 0.0 meV per atom
* space-group type: Pnma
* ΔE_f (raw): -0.99 eV/atom
* magnetic moment: 0.0 μB/cell

VASP calculation (GGA-PBE) on a geometry-optimized Pr5PbSe4 structure.

Lattice parameters (Å, degrees): 7.5245 7.5245 7.5245 99.58 99.58 131.85
Positions (direct):
Pr  0.0000  0.0000  0.0000
Pr  0.1911  0.6007  0.7918
Pr  0.3993  0.1911  0.5904
Pr  0.6007  0.8089  0.4096
Pr  0.8089  0.3993  0.2082
Pb  0.5000  0.5000  0.0000
Se  0.1045  0.2987  0.4032
Se  0.2987  0.8955  0.1943
Se  0.7013  0.1045  0.8057
Se  0.8955  0.7013  0.5968

Summary:
* raw total energy: -5.746 eV per atom
* crystal system: tetragonal
* space-group type: I4/m
* ΔE_f (raw): -1.59 eV/atom
* magnetic moment: 0.0 μB/cell

VASP calculation (GGA-PBE) on a geometry-optimized PrPbSe3 structure.

Lattice parameters (Å, degrees): 4.3032 9.0208 7.8320 90.00 90.00 90.00
Positions (direct):
Pr  0.0000  0.1023  0.0000
Pr  0.0000  0.8977  0.5000
Pb  0.5000  0.3522  0.4396
Pb  0.5000  0.6478  0.9396
Se  0.0000  0.2281  0.6275
Se  0.0000  0.7719  0.1275
Se  0.5000  0.0364  0.2706
Se  0.5000  0.3438  0.0574
Se  0.5000  0.6562  0.5574
Se  0.5000  0.9636  0.7706

Summary:
* raw total energy: -4.848 eV per atom
* crystal system: orthorhombic
* space-group type: Pmc2_1
* ΔE_f (raw): -1.06 eV/atom
* magnetic moment: 0.0 μB/cell

VASP calculation (GGA-PBE) on a geometry-optimized PrPb5Se7 structure.

Lattice parameters (Å, degrees): 7.6014 7.6014 24.9547 90.00 90.00 147.32
Positions (direct):
Pr  0.2039  0.7961  0.5000
Pr  0.7961  0.2039  0.0000
Pb  0.0126  0.9874  0.2600
Pb  0.2596  0.7404  0.8362
Pb  0.2871  0.7129  0.1837
Pb  0.4447  0.5553  0.6096
Pb  0.4725  0.5275  0.4121
Pb  0.5275  0.4725  0.9121
Pb  0.5553  0.4447  0.1096
Pb  0.7129  0.2871  0.6837
Pb  0.7404  0.2596  0.3362
Pb  0.9874  0.0126  0.7600
Se  0.0728  0.9272  0.6536
Se  0.1146  0.8854  0.3840
Se  0.1769  0.8231  0.9435
Se  0.2038  0.7962  0.0748
Se  0.3497  0.6503  0.7225
Se  0.3754  0.6246  0.2973
Se  0.4360  0.5640  0.0143
Se  0.5640  0.4360  0.5143
Se  0.6246  0.3754  0.7973
Se  0.6503  0.3497  0.2225
Se  0.7962  0.2038  0.5748
Se  0.8231  0.1769  0.4435
Se  0.8854  0.1146  0.8840
Se  0.9272  0.0728  0.1536

Summary:
* raw total energy: -4.422 eV per atom
* crystal system: orthorhombic
* space-group type: Cmc2_1
* ΔE_f (raw): -0.75 eV/atom
* magnetic moment: 0.0 μB/cell

VASP calculation (GGA-PBE) on a geometry-optimized Pr2PbSe4 structure.

Lattice parameters (Å, degrees): 7.8824 7.8824 7.8824 109.44 109.44 109.54
Positions (direct):
Pr  0.0076  0.6250  0.8826
Pr  0.3750  0.2576  0.3826
Pr  0.7424  0.1250  0.1174
Pr  0.8750  0.9924  0.6174
Pb  0.2500  0.7500  0.5000
Pb  0.5000  0.5000  0.0000
Se  0.1159  0.3676  0.5975
Se  0.1176  0.3659  0.0975
Se  0.2684  0.0201  0.9025
Se  0.4816  0.8841  0.2517
Se  0.6324  0.2299  0.7483
Se  0.6341  0.7316  0.7517
Se  0.7701  0.5184  0.4025
Se  0.9799  0.8824  0.2483

Summary:
* raw total energy: -5.379 eV per atom
* crystal system: tetragonal
* energy relative to the lowest polymorph listed for this composition: 0.0 meV per atom
* space-group type: I-42d
* ΔE_f (raw): -1.49 eV/atom
* magnetic moment: 0.0 μB/cell

VASP calculation (GGA-PBE) on a geometry-optimized Pr4PbSe2 structure.

Lattice parameters (Å, degrees): 7.2535 7.2535 14.4077 90.00 90.00 144.71
Positions (direct):
Pr  0.0000  0.0000  0.0000
Pr  0.0000  0.0000  0.5000
Pr  0.2691  0.7309  0.6203
Pr  0.2691  0.7309  0.8797
Pr  0.4403  0.5597  0.2500
Pr  0.5597  0.4403  0.7500
Pr  0.7309  0.2691  0.1203
Pr  0.7309  0.2691  0.3797
Pb  0.1087  0.8913  0.2500
Pb  0.8913  0.1087  0.7500
Se  0.3650  0.6350  0.0606
Se  0.3650  0.6350  0.4394
Se  0.6350  0.3650  0.5606
Se  0.6350  0.3650  0.9394

Summary:
* raw total energy: -5.493 eV per atom
* crystal system: orthorhombic
* space-group type: Cmcm
* ΔE_f (raw): -1.24 eV/atom
* magnetic moment: 1.1 μB/cell

VASP calculation (GGA-PBE) on a geometry-optimized Pr4SiPbSe2 structure.

Lattice parameters (Å, degrees): 7.6066 4.3427 7.6230 90.00 109.12 90.00
Positions (direct):
Pr  0.2447  0.0000  0.2364
Pr  0.2551  0.5000  0.7624
Pr  0.7449  0.5000  0.2376
Pr  0.7553  0.0000  0.7636
Si  0.5000  0.0000  0.0000
Pb  0.5000  0.5000  0.5000
Se  0.0000  0.0000  0.5000
Se  0.0000  0.5000  0.0000

Summary:
* raw total energy: -5.624 eV per atom
* crystal system: monoclinic
* space-group type: P2/m
* ΔE_f (raw): -1.22 eV/atom
* magnetic moment: 0.0 μB/cell

VASP calculation (GGA-PBE) on a geometry-optimized Pr2Si2PbSe8 structure.

Lattice parameters (Å, degrees): 9.4271 9.4271 10.7241 114.49 114.49 60.82
Positions (direct):
Pr  0.0571  0.9429  0.5000
Pr  0.2468  0.4426  0.9940
Pr  0.4426  0.2468  0.4940
Pr  0.9429  0.0571  0.0000
Si  0.1729  0.6493  0.7238
Si  0.3239  0.8564  0.2654
Si  0.6493  0.1729  0.2238
Si  0.8564  0.3239  0.7654
Pb  0.5835  0.7448  0.9851
Pb  0.7448  0.5835  0.4851
Se  0.0837  0.2637  0.6978
Se  0.0880  0.7929  0.1872
Se  0.0999  0.5821  0.4801
Se  0.2274  0.8895  0.8142
Se  0.2637  0.0837  0.1978
Se  0.4024  0.4237  0.7931
Se  0.4043  0.9317  0.5095
Se  0.4237  0.4024  0.2931
Se  0.5213  0.6188  0.1639
Se  0.5821  0.0999  0.9801
Se  0.6188  0.5213  0.6639
Se  0.7048  0.9614  0.3124
Se  0.7929  0.0880  0.6872
Se  0.8895  0.2274  0.3142
Se  0.9317  0.4043  0.0095
Se  0.9614  0.7048  0.8124

Summary:
* raw total energy: -5.046 eV per atom
* crystal system: monoclinic
* space-group type: Cc
* ΔE_f (raw): -1.05 eV/atom
* magnetic moment: 0.0 μB/cell